1.
ReN2 | PBEsol | optimized geometry

Cell and atoms, written as extended XYZ:
```
6
Lattice="4.212 0.000 0.000 0.000 2.859 0.000 -1.999 0.000 4.653" Properties=species:S:1:pos:R:3 pbc="T T T"
Re 0.435 0.715 1.011
Re 1.778 2.144 3.642
N -0.938 0.715 3.703
N 0.301 0.715 3.121
N 1.912 2.144 1.532
N 3.151 2.144 0.950
```

Summary:
The energy relative to the elements, uncorrected is -16 meV/atom.

2.
FeTeOsI2 | PBEsol | optimized geometry

Cell and atoms, written as extended XYZ:
```
5
Lattice="5.449 0.000 0.000 0.000 5.449 0.000 0.000 0.000 4.958" Properties=species:S:1:pos:R:3 pbc="T T T"
Fe 0.000 0.000 0.000
Te 2.725 2.725 0.000
Os 2.725 2.725 2.479
I 0.000 2.725 2.479
I 2.725 0.000 2.479
```

Summary:
The energy relative to the elements, uncorrected is 1239 meV/atom. The energy above the most stable polymorph in this dataset comes out at 0.000 eV/atom.

3.
AlHRh2 | PBEsol | optimized geometry

Cell and atoms, written as extended XYZ:
```
16
Lattice="5.825 0.000 0.000 0.000 5.825 0.000 0.000 0.000 5.206" Properties=species:S:1:pos:R:3 pbc="T T T"
Al 0.000 0.000 0.000
Al 0.000 2.912 1.301
Al 2.912 0.000 3.904
Al 2.912 2.912 2.603
H 0.000 0.000 2.603
H 0.000 2.912 3.904
H 2.912 0.000 1.301
H 2.912 2.912 0.000
Rh 0.933 1.456 3.253
Rh 1.456 3.845 4.555
Rh 1.456 4.892 1.952
Rh 1.979 1.456 0.651
Rh 3.845 4.368 0.651
Rh 4.368 0.933 1.952
Rh 4.368 1.979 4.555
Rh 4.892 4.368 3.253
```

Summary:
The final energy comes out at -6.294 eV per atom.

4.
CaCrPt2 | PBEsol | optimized geometry

Cell and atoms, written as extended XYZ:
```
4
Lattice="3.086 0.000 0.000 0.000 3.086 0.000 0.000 0.000 7.135" Properties=species:S:1:pos:R:3 pbc="T T T"
Ca 0.000 0.000 0.000
Cr 0.000 0.000 3.568
Pt 1.543 1.543 2.116
Pt 1.543 1.543 5.020
```

Summary:
The energy relative to the elements is -0.327 eV per atom. The energy above the most stable polymorph in this dataset comes out at 0.000 eV/atom.

5.
LiTl2Cl | PBEsol | optimized geometry

Cell and atoms, written as extended XYZ:
```
16
Lattice="8.202 0.000 0.000 0.000 8.202 0.000 0.000 0.000 6.136" Properties=species:S:1:pos:R:3 pbc="T T T"
Li 0.000 0.000 0.000
Li 0.000 4.101 1.534
Li 4.101 0.000 4.602
Li 4.101 4.101 3.068
Tl 1.923 6.151 0.767
Tl 2.050 1.923 5.369
Tl 2.050 2.178 2.301
Tl 2.178 6.151 3.835
Tl 6.024 2.050 3.835
Tl 6.151 6.024 2.301
Tl 6.151 6.279 5.369
Tl 6.279 2.050 0.767
Cl 0.000 0.000 3.068
Cl 0.000 4.101 4.602
Cl 4.101 0.000 1.534
Cl 4.101 4.101 0.000
```

Summary:
The energy relative to the elements, uncorrected is -342 meV/atom. The energy above the most stable polymorph in this dataset comes out at 0.025 eV/atom.

6.
Cs3GeAsSe5 | PBEsol | optimized geometry

Cell and atoms, written as extended XYZ:
```
40
Lattice="7.539 0.000 0.000 0.000 9.592 0.000 -4.195 0.000 19.256" Properties=species:S:1:pos:R:3 pbc="T T T"
Cs -1.257 1.897 8.777
Cs -3.354 2.899 18.405
Cs 0.201 0.596 4.585
Cs -1.896 4.200 14.213
Cs 1.123 6.817 8.018
Cs -0.974 7.571 17.646
Cs 4.318 2.021 1.610
Cs 2.221 2.775 11.237
Cs 5.240 5.392 5.043
Cs 3.143 8.996 14.671
Cs 6.698 6.693 0.851
Cs 4.601 7.695 10.479
Ge 0.570 6.768 12.130
Ge 2.667 7.620 2.502
Ge 0.677 1.972 16.754
Ge 2.774 2.824 7.126
As -0.393 0.393 13.457
As 1.704 4.403 3.829
As 1.640 5.189 15.427
As 3.737 9.199 5.799
Se -2.215 1.139 12.217
Se -0.118 3.657 2.589
Se -0.533 5.143 10.919
Se 1.564 9.245 1.292
Se -1.321 1.061 15.730
Se 0.776 3.735 6.102
Se 1.318 6.790 4.369
Se -0.779 7.598 13.997
Se 3.237 5.643 1.412
Se 1.140 8.745 11.040
Se 2.204 0.847 8.216
Se 0.107 3.949 17.843
Se 4.123 1.994 5.258
Se 2.026 2.802 14.886
Se 2.568 5.857 13.153
Se 4.665 8.531 3.525
Se 1.780 0.347 17.964
Se 3.877 4.449 8.336
Se 3.462 5.935 16.667
Se 5.559 8.453 7.039
```

Summary:
The energy relative to the elements, uncorrected is -787 meV/atom.

7.
Ni3Sn | PBEsol | optimized geometry

Cell and atoms, written as extended XYZ:
```
4
Lattice="3.674 0.000 0.000 0.000 3.674 0.000 0.000 0.000 3.674" Properties=species:S:1:pos:R:3 pbc="T T T"
Ni 0.000 0.000 1.837
Ni 0.000 1.837 0.000
Ni 1.837 0.000 0.000
Sn 1.837 1.837 1.837
```

Summary:
The energy relative to the elements is -0.222 eV per atom.

8.
KRuPb2 | PBEsol | optimized geometry

Cell and atoms, written as extended XYZ:
```
8
Lattice="3.259 0.000 0.000 0.000 4.264 0.000 0.000 0.000 16.054" Properties=species:S:1:pos:R:3 pbc="T T T"
K 0.000 0.000 0.000
K 1.629 2.132 8.027
Ru 0.000 2.132 4.705
Ru 1.629 0.000 12.732
Pb 0.000 0.000 10.507
Pb 0.000 2.132 13.210
Pb 1.629 0.000 5.183
Pb 1.629 2.132 2.480
```

Summary:
The energy relative to the elements is 0.283 eV per atom.

9.
SmTlSe2 | PBEsol | optimized geometry

Cell and atoms, written as extended XYZ:
```
12
Lattice="4.183 0.000 0.000 -2.091 3.622 0.000 0.000 0.000 22.777" Properties=species:S:1:pos:R:3 pbc="T T T"
Sm 0.000 0.000 0.000
Sm 0.000 2.415 15.185
Sm 2.091 1.207 7.592
Tl 0.000 0.000 11.389
Tl 0.000 2.415 3.796
Tl 2.091 1.207 18.981
Se 0.000 0.000 5.974
Se 0.000 0.000 16.803
Se 0.000 2.415 9.211
Se 0.000 2.415 21.159
Se 2.091 1.207 1.618
Se 2.091 1.207 13.567
```

Summary:
The energy relative to the elements, uncorrected is -1345 meV/atom.

10.
Ta2InCo | PBEsol | optimized geometry

Cell and atoms, written as extended XYZ:
```
8
Lattice="3.005 0.000 0.000 0.000 4.756 0.000 0.000 0.000 9.186" Properties=species:S:1:pos:R:3 pbc="T T T"
Ta 0.000 0.000 0.000
Ta 0.000 2.378 2.166
Ta 1.503 0.000 6.759
Ta 1.503 2.378 4.593
In 0.000 0.000 4.117
In 1.503 2.378 8.710
Co 0.000 2.378 6.539
Co 1.503 0.000 1.946
```

Summary:
The energy relative to the elements is 0.118 eV per atom.

11.
BaNb2InHg | PBEsol | optimized geometry

Cell and atoms, written as extended XYZ:
```
5
Lattice="5.331 0.000 0.000 0.000 5.331 0.000 0.000 0.000 5.226" Properties=species:S:1:pos:R:3 pbc="T T T"
Ba 0.000 0.000 0.000
Nb 0.000 2.666 2.613
Nb 2.666 0.000 2.613
In 2.666 2.666 0.000
Hg 2.666 2.666 2.613
```

Summary:
The energy relative to the elements is 1.252 eV per atom.

12.
Mn2CuNiSb2 | PBEsol | optimized geometry

Cell and atoms, written as extended XYZ:
```
6
Lattice="2.086 1.204 6.823 -2.086 1.204 6.823 0.000 -2.408 6.823" Properties=species:S:1:pos:R:3 pbc="T T T"
Mn 0.000 0.000 0.000
Mn 0.000 0.000 10.136
Cu 0.000 0.000 12.749
Ni 0.000 0.000 2.495
Sb 0.000 0.000 5.014
Sb 0.000 0.000 15.345
```

Summary:
The energy relative to the elements, uncorrected is 14 meV/atom.

> What is the formula in the twelfth record?

Mn2CuNiSb2